A geometry-optimized NiAsBrO2 structure. Source: Alexandria via LeMat-Bulk, functional PBE+U.

Values from the calculation:
- E: -14.50 eV for the cell shown

Cell lengths 3.8628, 5.1593, 3.8628 Å; angles 90.00, 90.00, 90.00 degrees
Closest atoms and distances in Å follow each position.
Positions (direct):
O 0.0000 0.0000 0.5000  2 Br 1.93
Ni 0.0000 0.5000 0.0000  2 Br 2.58, 4 As 2.73
O 0.5000 0.0000 0.0000  2 Br 1.93
Br 0.0000 0.0000 0.0000  4 O 1.93
As 0.5000 0.5000 0.5000  4 Ni 2.73